1.
VASP calculation (GGA-PBE) on a relaxed structure of ZrTl2Cu.

abc: 5.9053 5.9053 5.9053
angles: 148.88 124.00 65.47
Fractional positions:
Zr  0.2500  0.7500  0.5000
Tl  0.5256  0.5256  0.0000
Tl  0.9744  0.9744  0.0000
Cu  0.7500  0.2500  0.5000

## Properties
The energy of formation from the pure elements is 0.23 eV per atom. The value obtained for the energy above the most stable polymorph in this dataset is 155 meV per atom. The value obtained for the total energy is -4.11 eV/atom. The total magnetization comes out at 0.00 μB per formula unit. The density of states at the Fermi level comes out at 0.8250 states/eV per atom. Its space-group type is Immm (71).


2.
VASP calculation (GGA-PBE) on a relaxed structure of YTl2Ni2.

abc: 4.3767 4.3767 6.2016
angles: 69.34 69.34 90.00
Fractional positions:
Ni  0.6047  0.6047  0.7906
Ni  0.3953  0.3953  0.2094
Tl  0.7500  0.2500  0.5000
Tl  0.2500  0.7500  0.5000
Y  0.0000  0.0000  0.0000

## Properties
The energy of formation from the pure elements is -0.02 eV per atom. The value obtained for the energy above the most stable polymorph in this dataset is 0 meV per atom. The value obtained for the total energy is -4.57 eV/atom. The total magnetization comes out at 0.00 μB per formula unit. The density of states at the Fermi level comes out at 0.7688 states/eV per atom. Its space-group type is I4/mmm (139).


3.
VASP calculation (GGA-PBE) on a relaxed structure of LiTb2DyIn4.

abc: 5.2109 5.2109 9.2090
angles: 73.57 73.57 60.00
Fractional positions:
Tb  0.2459  0.2459  0.2623
Tb  0.7541  0.7541  0.7377
In  0.8738  0.8738  0.3786
In  0.1262  0.1262  0.6214
In  0.6232  0.6232  0.1303
In  0.3768  0.3768  0.8697
Li  0.5000  0.5000  0.5000
Dy  0.0000  0.0000  0.0000

## Properties
The energy of formation from the pure elements is -0.42 eV per atom. The value obtained for the total energy is -3.77 eV/atom. The total magnetization comes out at 0.00 μB per formula unit. The density of states at the Fermi level comes out at 0.4942 states/eV per atom. Its space-group type is R-3m (166).


4.
VASP calculation (GGA-PBE) on a relaxed structure of Nd3Sm2DyY6.

abc: 6.2548 6.2548 11.8838
angles: 95.01 95.01 119.98
Fractional positions:
Y  0.7498  0.7498  0.2483
Y  0.0826  0.4157  0.2480
Y  0.9174  0.5843  0.7520
Y  0.5843  0.9174  0.7520
Y  0.4157  0.0826  0.2480
Y  0.2502  0.2502  0.7517
Nd  0.8333  0.1667  0.5000
Nd  0.1667  0.8333  0.5000
Nd  0.5000  0.5000  0.5000
Sm  0.3336  0.6664  0.0000
Sm  0.6664  0.3336  0.0000
Dy  0.0000  0.0000  0.0000

## Properties
The energy of formation from the pure elements is 0.01 eV per atom. The value obtained for the total energy is -5.58 eV/atom. The total magnetization comes out at 0.00 μB per formula unit. The density of states at the Fermi level comes out at 1.2824 states/eV per atom. Its space-group type is C2/m (12).


- Among the records above, which one has the highest energy of formation from the pure elements?
  ZrTl2Cu


- Number 2 is which compound?
  YTl2Ni2